Material: Ba2U2Se5
Method: DFT, PBE-GGA
State: optimized geometry

a b c (Å): 8.016 8.016 8.714
angles (deg): 122.47 122.47 40.77
Fractional coordinates of all 9 atoms:
Ba1 0.120 0.120 0.273
Ba2 0.880 0.880 0.727
U1 0.387 0.387 0.180
U2 0.613 0.613 0.820
Se1 0.147 0.147 0.907
Se2 0.380 0.380 0.506
Se3 0.500 0.500 0.000
Se4 0.620 0.620 0.494
Se5 0.853 0.853 0.093

Computed properties:
**Space-group type**: C2/m (12)
**Magnetic moment**: 6.01 μB/cell
**ΔE_f (raw)**: -1.4402 eV/atom